(1)
Material: SrSi3F
Method: DFT, GGA-PBEsol
State: relaxed

Geometry as extended XYZ:
```
5
Lattice="-0.405 -2.929 -3.449 3.333 -2.535 1.761 -3.060 -2.374 2.375" Properties=species:S:1:pos:R:3 pbc="T T T"
Sr -0.066 -3.919 0.343
Si 1.667 -1.268 0.881
Si -1.530 -1.187 1.188
Si -0.203 -1.464 -1.725
F 0.000 0.000 0.000
```

**Crystal system**: cubic
**VASP energy**: -4.31 eV/atom
**N(E_F)**: 0.533 states/eV per atom

=====

(2)
Material: SrSiF2
Method: DFT, GGA-PBEsol
State: relaxed

Geometry as extended XYZ:
```
4
Lattice="4.056 0.000 0.000 2.028 3.513 0.000 2.028 1.171 5.586" Properties=species:S:1:pos:R:3 pbc="T T T"
Sr 4.056 2.342 2.793
Si 0.000 0.000 0.000
F 6.084 3.513 2.107
F 2.028 1.171 3.479
```

**Crystal system**: trigonal
**VASP energy**: -4.98 eV/atom
**N(E_F)**: 0.220 states/eV per atom

=====

(3)
Material: Zn2SiTcF
Method: DFT, GGA-PBEsol
State: relaxed

Geometry as extended XYZ:
```
5
Lattice="3.793 0.000 0.000 0.000 4.839 0.000 0.000 0.000 4.839" Properties=species:S:1:pos:R:3 pbc="T T T"
Zn 0.000 0.000 2.419
Zn 0.000 2.419 0.000
Si 1.897 2.419 2.419
Tc 0.000 0.000 0.000
F 1.897 0.000 0.000
```

**Crystal system**: tetragonal
**VASP energy**: -4.01 eV/atom
**N(E_F)**: 0.462 states/eV per atom

=====

(4)
Material: TlSiF2
Method: DFT, GGA-PBEsol
State: relaxed

Geometry as extended XYZ:
```
4
Lattice="3.016 0.000 0.000 1.508 2.612 0.000 1.508 0.871 8.062" Properties=species:S:1:pos:R:3 pbc="T T T"
Tl 3.016 1.741 4.031
Si 0.000 0.000 0.000
F 4.524 2.612 1.738
F 1.508 0.871 6.324
```

**Crystal system**: trigonal
**VASP energy**: -4.51 eV/atom
**N(E_F)**: 0.208 states/eV per atom

=====

(5)
Material: Tl3SiF7
Method: DFT, GGA-PBEsol
State: relaxed

Geometry as extended XYZ:
```
22
Lattice="6.825 0.046 0.039 -0.053 7.781 -0.050 -0.013 -3.847 6.766" Properties=species:S:1:pos:R:3 pbc="T T T"
Tl 1.503 3.735 4.588
Tl 1.536 1.711 1.137
Tl 4.949 -2.121 5.743
Tl 1.508 5.714 1.110
Tl 4.919 1.881 5.718
Tl 4.957 -0.144 2.266
Si 5.188 3.748 2.302
Si 1.790 -0.154 4.555
F 3.175 7.612 0.017
F 6.163 4.969 3.000
F 4.223 2.523 1.602
F 6.588 7.632 0.040
F 4.208 4.952 1.588
F 6.183 3.746 0.909
F 0.818 -1.372 5.258
F 2.791 -1.362 3.871
F 0.797 1.057 5.240
F 2.767 -0.135 5.960
F 0.823 -0.172 3.145
F 2.771 1.061 3.853
F 6.178 2.546 3.014
F 4.204 3.750 3.699
```

**Crystal system**: orthorhombic
**VASP energy**: -4.93 eV/atom
**N(E_F)**: 0.000 states/eV per atom

=====

(6)
Material: SmSnF7
Method: DFT, GGA-PBEsol
State: relaxed

Geometry as extended XYZ:
```
36
Lattice="-3.456 -1.197 -4.295 6.886 -3.710 -4.507 -4.772 -8.135 6.106" Properties=species:S:1:pos:R:3 pbc="T T T"
Sm 0.225 -10.306 -2.929
Sm -0.568 -8.677 0.960
Sm -1.567 -2.735 0.232
Sm -0.774 -4.364 -3.657
Sn 1.997 -6.721 -1.548
Sn 2.527 -4.095 -6.411
Sn -3.339 -6.320 -1.149
Sn -3.869 -8.946 3.714
F -0.190 -8.635 -4.489
F -1.485 -10.809 0.864
F -1.152 -4.406 1.792
F 0.143 -2.232 -3.561
F 2.009 -2.111 -1.387
F -3.015 -4.525 -0.377
F -3.351 -10.930 -1.309
F 1.673 -8.516 -2.320
F 1.083 -4.322 -5.082
F 3.537 -6.460 -2.757
F -2.425 -8.719 2.386
F -4.879 -6.581 0.060
F -0.730 -11.994 -1.553
F 0.515 -6.944 -0.257
F -0.612 -1.047 -1.144
F -1.857 -6.096 -2.440
F 2.293 -4.890 -0.832
F 3.596 -5.453 -5.429
F -3.635 -8.151 -1.864
F -4.938 -7.588 2.732
F 5.229 -4.392 -3.175
F 0.808 -5.900 -2.902
F -6.571 -8.649 0.478
F -2.150 -7.141 0.206
F 1.545 -9.321 0.703
F -0.709 -9.254 -1.207
F -2.887 -3.720 -3.400
F -0.633 -3.787 -1.490
```

**Crystal system**: monoclinic
**VASP energy**: -5.78 eV/atom
**N(E_F)**: 0.000 states/eV per atom